# 1
Here is crystalline La2PmEr at its relaxed geometry from the Alexandria database. Energies are from PBE.

Structure (extended XYZ):
```
4
Lattice="-5.340 -2.297 -0.521 -0.982 -5.509 1.660 -3.187 -1.087 4.767" Properties=species:S:1:pos:R:3 pbc="T T T"
Pm 0.000 0.000 0.000
La -2.377 -2.223 1.476
La -7.132 -6.670 4.429
Er -4.755 -4.446 2.953
```

Results
Polymorph energy (0 for the lowest one) in meV per atom: 87
Total moment in μB/cell: 0.00
Formation energy from the elements in eV/atom: 0.10
Density in g/cm3: 6.969
Symmetry: No. 225


# 2
Here is crystalline La2Pm4Er3 at its relaxed geometry from the Alexandria database. Energies are from PBE.

Structure (extended XYZ):
```
9
Lattice="3.452 0.000 -0.894 -0.375 8.623 -1.447 0.779 0.097 10.122" Properties=species:S:1:pos:R:3 pbc="T T T"
La 2.544 0.401 2.711
La 1.313 8.320 5.069
Pm 1.713 5.914 -0.498
Pm 1.270 3.100 4.903
Pm 2.144 2.807 8.279
Pm 2.587 5.621 2.878
Er 0.391 3.150 1.509
Er 3.466 5.571 6.272
Er 0.000 0.000 0.000
```

Results
Polymorph energy (0 for the lowest one) in meV per atom: 24
Total moment in μB/cell: 0.00
Formation energy from the elements in eV/atom: 0.08
Density in g/cm3: 7.334
Symmetry: No. 12


# 3
Here is crystalline LaPm2Er8 at its relaxed geometry from the Alexandria database. Energies are from PBE.

Structure (extended XYZ):
```
11
Lattice="-4.642 0.773 2.874 -5.051 -3.132 -8.233 -3.445 -8.594 -4.169" Properties=species:S:1:pos:R:3 pbc="T T T"
La 0.000 0.000 0.000
Pm -5.910 -2.760 -1.373
Pm -7.228 -8.193 -8.154
Er -3.996 -5.373 -2.840
Er -4.744 -2.831 -4.731
Er -9.142 -5.580 -6.688
Er -5.750 -6.221 -6.088
Er -8.394 -8.122 -4.796
Er -2.678 -2.017 -1.652
Er -10.459 -8.936 -7.875
Er -7.388 -4.732 -3.440
```

Results
Total moment in μB/cell: 0.00
Formation energy from the elements in eV/atom: 0.14
Density in g/cm3: 7.990
Symmetry: No. 12


# 4
Here is crystalline LaPm2Er6 at its relaxed geometry from the Alexandria database. Energies are from PBE.

Structure (extended XYZ):
```
18
Lattice="-6.539 -0.328 -0.789 -1.900 -6.491 6.742 -2.434 7.533 5.340" Properties=species:S:1:pos:R:3 pbc="T T T"
La -4.004 5.743 5.314
La -6.869 -5.029 5.979
Pm -3.635 1.012 7.610
Pm -3.998 0.638 4.001
Pm -7.238 -0.298 3.683
Pm -6.875 0.076 7.293
Er -5.186 -2.309 5.505
Er -2.217 -2.075 6.708
Er -5.687 3.022 5.788
Er -8.656 2.789 4.585
Er -6.043 2.874 2.282
Er -8.317 3.363 8.048
Er -4.830 -2.160 9.011
Er -2.556 -2.649 3.245
Er -5.891 2.009 10.083
Er -1.805 1.293 1.362
Er -4.982 -1.295 1.210
Er -9.068 -0.579 9.931
```

Results
Polymorph energy (0 for the lowest one) in meV per atom: 29
Total moment in μB/cell: 0.00
Formation energy from the elements in eV/atom: 0.10
Density in g/cm3: 8.139
Symmetry: No. 15


# 5
Here is crystalline La7PmEr12 at its relaxed geometry from the Alexandria database. Energies are from PBE.

Structure (extended XYZ):
```
20
Lattice="-5.662 5.662 5.662 5.662 -5.662 5.662 5.662 5.662 -5.662" Properties=species:S:1:pos:R:3 pbc="T T T"
La 0.000 5.662 0.000
La 0.000 0.000 5.662
La 5.662 0.000 0.000
La 2.831 2.831 2.831
La 2.831 -2.831 2.831
La 2.831 2.831 -2.831
La -2.831 2.831 2.831
Pm 0.000 0.000 0.000
Er 2.854 2.851 5.662
Er 2.808 8.514 0.000
Er 2.808 2.811 0.000
Er 2.854 -2.851 5.662
Er 5.662 2.854 -2.851
Er 5.662 2.854 2.851
Er 0.000 2.808 8.514
Er 0.000 2.808 2.811
Er 2.851 5.662 2.854
Er 2.811 0.000 2.808
Er 8.514 0.000 2.808
Er -2.851 5.662 2.854
```

Results
Total moment in μB/cell: 0.00
Formation energy from the elements in eV/atom: 0.63
Density in g/cm3: 7.145
Symmetry: No. 229


# 6
Here is crystalline La4PmEr4 at its relaxed geometry from the Alexandria database. Energies are from PBE.

Structure (extended XYZ):
```
9
Lattice="-1.620 4.493 -3.768 3.294 -2.536 -4.441 -8.739 -6.229 1.242" Properties=species:S:1:pos:R:3 pbc="T T T"
La -0.810 2.246 -1.884
La 1.647 -1.268 -2.220
La -2.245 -1.492 -0.814
La -4.819 -2.780 -6.154
Pm 0.000 0.000 0.000
Er -4.338 -2.730 -3.164
Er -1.536 -2.459 -5.408
Er -4.943 -3.437 -0.198
Er -3.312 0.081 -5.164
```

Results
Polymorph energy (0 for the lowest one) in meV per atom: 664
Total moment in μB/cell: 0.00
Formation energy from the elements in eV/atom: 0.70
Density in g/cm3: 6.202
Symmetry: No. 121


# 7
Here is crystalline LaPm2Er at its relaxed geometry from the Alexandria database. Energies are from PBE.

Structure (extended XYZ):
```
4
Lattice="-3.715 2.071 -0.011 -1.968 -3.537 -1.307 -1.153 -2.030 7.230" Properties=species:S:1:pos:R:3 pbc="T T T"
Pm -0.883 -1.554 5.536
Pm -0.270 -0.475 1.693
La -3.418 -1.748 2.956
Er -2.841 -0.733 -0.659
```

Results
Polymorph energy (0 for the lowest one) in meV per atom: 99
Total moment in μB/cell: 0.00
Formation energy from the elements in eV/atom: 0.12
Density in g/cm3: 7.204
Symmetry: No. 123


# 8
Here is crystalline LaPm2Er at its relaxed geometry from the Alexandria database. Energies are from PBE.

Structure (extended XYZ):
```
4
Lattice="-0.258 -1.639 -3.238 -2.661 -2.404 -0.614 -8.000 7.421 -5.164" Properties=species:S:1:pos:R:3 pbc="T T T"
Pm -8.137 2.468 -6.733
Pm -2.782 0.909 -2.283
La 0.000 0.000 0.000
Er -5.460 1.689 -4.508
```

Results
Polymorph energy (0 for the lowest one) in meV per atom: 2
Total moment in μB/cell: 0.00
Formation energy from the elements in eV/atom: 0.02
Density in g/cm3: 7.265
Symmetry: No. 166


# 9
Here is crystalline La2PmEr6 at its relaxed geometry from the Alexandria database. Energies are from PBE.

Structure (extended XYZ):
```
18
Lattice="5.085 0.000 0.213 0.000 10.721 0.000 -0.449 0.000 10.712" Properties=species:S:1:pos:R:3 pbc="T T T"
La -0.372 3.570 8.922
La 2.242 8.931 7.253
La 2.395 1.790 3.672
La 5.009 7.151 2.003
Pm 2.543 5.361 0.107
Pm -0.224 0.000 5.356
Er -0.073 0.026 1.755
Er 4.859 7.117 5.596
Er 4.711 7.153 9.135
Er 2.245 1.793 7.252
Er 2.096 1.756 10.791
Er 2.392 5.387 3.708
Er 4.710 10.695 9.170
Er -0.222 3.605 5.328
Er -0.074 3.568 1.790
Er 2.392 8.928 3.673
Er 2.541 8.965 0.134
Er 2.245 5.335 7.217
```

Results
Polymorph energy (0 for the lowest one) in meV per atom: 0
Total moment in μB/cell: 0.00
Formation energy from the elements in eV/atom: 0.04
Density in g/cm3: 8.097
Symmetry: No. 136


# 10
Here is crystalline La5PmEr at its relaxed geometry from the Alexandria database. Energies are from PBE.

Structure (extended XYZ):
```
14
Lattice="6.112 0.000 1.491 3.056 8.907 0.745 -0.354 0.000 9.195" Properties=species:S:1:pos:R:3 pbc="T T T"
La 3.996 5.598 8.883
La 3.522 2.701 5.815
La 1.117 3.309 3.540
La 5.847 2.504 8.387
La 2.060 2.701 9.469
La 6.755 6.206 1.963
La 2.968 6.403 3.044
La 7.698 5.598 7.891
La 5.293 6.206 5.616
La 4.819 3.309 2.548
Pm 0.000 0.000 0.000
Pm -0.177 0.000 4.598
Er 5.847 8.722 8.387
Er 2.968 0.185 3.044
```

Results
Total moment in μB/cell: 0.00
Formation energy from the elements in eV/atom: 0.16
Density in g/cm3: 6.617
Symmetry: No. 15


# 11
Here is crystalline La12Pm7Er at its relaxed geometry from the Alexandria database. Energies are from PBE.

Structure (extended XYZ):
```
20
Lattice="6.307 0.000 -1.298 -3.251 9.867 -5.147 0.195 0.000 11.593" Properties=species:S:1:pos:R:3 pbc="T T T"
La -1.306 5.847 -1.025
La 0.096 1.827 5.796
La 1.498 6.366 -4.057
La 2.781 0.003 3.558
La 1.943 4.021 4.124
La -1.497 6.363 4.062
La 4.748 3.505 1.085
La 1.307 5.847 1.024
La 0.469 9.864 1.590
La 1.752 3.502 9.204
La 3.154 8.041 -0.649
La 4.556 4.020 6.172
Pm -1.709 7.390 -4.002
Pm 5.631 0.002 1.763
Pm 1.710 7.388 4.006
Pm 3.153 0.000 -0.649
Pm 1.541 2.480 1.142
Pm -2.380 9.865 3.384
Pm 4.959 2.477 9.149
Er 0.000 0.000 0.000
```

Results
Polymorph energy (0 for the lowest one) in meV per atom: 0
Total moment in μB/cell: 0.00
Formation energy from the elements in eV/atom: 0.17
Density in g/cm3: 6.536
Symmetry: No. 166


# 12
Here is crystalline La4PmEr at its relaxed geometry from the Alexandria database. Energies are from PBE.

Structure (extended XYZ):
```
6
Lattice="6.086 0.000 0.000 3.043 5.672 -0.684 3.043 -1.173 6.309" Properties=species:S:1:pos:R:3 pbc="T T T"
La 6.086 3.906 -0.431
La 6.086 0.593 6.056
La 3.043 0.385 3.215
La 9.129 4.114 2.411
Pm 6.086 2.249 2.813
Er 0.000 0.000 0.000
```

Results
Polymorph energy (0 for the lowest one) in meV per atom: 4
Total moment in μB/cell: 0.00
Formation energy from the elements in eV/atom: 0.10
Density in g/cm3: 6.769
Symmetry: No. 12


# 13
Here is crystalline LaPmEr4 at its relaxed geometry from the Alexandria database. Energies are from PBE.

Structure (extended XYZ):
```
6
Lattice="6.653 0.000 0.000 3.326 5.761 0.000 3.326 1.920 5.432" Properties=species:S:1:pos:R:3 pbc="T T T"
Pm 3.326 1.920 1.358
La 0.000 0.000 0.000
Er 6.653 3.841 0.687
Er 6.653 1.928 3.392
Er 8.309 4.797 3.392
Er 4.996 4.797 3.392
```

Results
Polymorph energy (0 for the lowest one) in meV per atom: 252
Total moment in μB/cell: 4.31
Formation energy from the elements in eV/atom: 0.28
Density in g/cm3: 7.601
Symmetry: No. 216


# 14
Here is crystalline LaPm2Er2 at its relaxed geometry from the Alexandria database. Energies are from PBE.

Structure (extended XYZ):
```
10
Lattice="3.816 0.000 0.000 0.000 9.468 0.000 0.000 0.000 9.468" Properties=species:S:1:pos:R:3 pbc="T T T"
La 0.000 0.000 0.000
La 0.000 4.734 4.734
Pm 0.000 8.263 3.529
Pm 0.000 3.529 1.205
Pm 0.000 1.205 5.939
Pm 0.000 5.939 8.263
Er 1.908 3.130 7.864
Er 1.908 7.864 6.338
Er 1.908 6.338 1.604
Er 1.908 1.604 3.130
```

Results
Polymorph energy (0 for the lowest one) in meV per atom: 0
Total moment in μB/cell: 0.01
Formation energy from the elements in eV/atom: 0.08
Density in g/cm3: 7.411
Symmetry: No. 127


# 15
Here is crystalline La3Pm2Er3 at its relaxed geometry from the Alexandria database. Energies are from PBE.

Structure (extended XYZ):
```
8
Lattice="5.863 0.000 -1.103 -0.363 5.678 -1.929 -1.424 -0.362 8.565" Properties=species:S:1:pos:R:3 pbc="T T T"
La 0.753 4.592 4.001
La 2.750 2.839 -1.516
La 3.324 0.724 1.531
Pm 3.423 4.084 2.059
Pm 0.654 1.232 3.473
Er 3.939 1.873 4.802
Er 0.137 3.443 0.730
Er 0.000 0.000 0.000
```

Results
Polymorph energy (0 for the lowest one) in meV per atom: 89
Total moment in μB/cell: 0.00
Formation energy from the elements in eV/atom: 0.12
Density in g/cm3: 7.377
Symmetry: No. 12


# 16
Here is crystalline La2PmEr at its relaxed geometry from the Alexandria database. Energies are from PBE.

Structure (extended XYZ):
```
4
Lattice="3.622 0.000 0.627 1.757 3.168 0.627 -0.211 -0.124 12.003" Properties=species:S:1:pos:R:3 pbc="T T T"
La 3.867 2.277 9.994
La 1.301 0.766 3.262
Pm 2.584 1.522 6.628
Er 0.000 0.000 0.000
```

Results
Polymorph energy (0 for the lowest one) in meV per atom: 0
Total moment in μB/cell: 0.00
Formation energy from the elements in eV/atom: 0.01
Density in g/cm3: 7.086
Symmetry: No. 166


# 17
Here is crystalline La3Pm2Er7 at its relaxed geometry from the Alexandria database. Energies are from PBE.

Structure (extended XYZ):
```
12
Lattice="3.555 0.000 0.000 0.000 6.327 0.719 0.000 2.370 17.931" Properties=species:S:1:pos:R:3 pbc="T T T"
La 1.778 3.163 0.359
La 0.000 1.538 6.176
La 0.000 7.159 12.474
Pm 1.778 4.710 6.281
Pm 1.778 3.987 12.368
Er 1.778 2.753 9.119
Er 1.778 5.945 9.531
Er 0.000 3.960 3.350
Er 0.000 0.000 0.000
Er 0.000 4.737 15.299
Er 1.778 7.935 15.663
Er 1.778 0.762 2.987
```

Results
Total moment in μB/cell: 0.00
Formation energy from the elements in eV/atom: 0.09
Density in g/cm3: 7.848
Symmetry: No. 10


# 18
Here is crystalline La5Pm5Er2 at its relaxed geometry from the Alexandria database. Energies are from PBE.

Structure (extended XYZ):
```
12
Lattice="5.070 0.000 1.144 2.711 10.595 -0.206 0.840 -1.357 8.085" Properties=species:S:1:pos:R:3 pbc="T T T"
La 4.409 2.126 4.075
La 6.370 1.669 7.194
La 2.252 7.570 1.829
La 4.212 7.112 4.947
La 0.000 0.000 0.000
Pm 1.775 4.619 3.940
Pm 6.184 6.649 8.019
Pm 1.968 -0.449 3.088
Pm 6.654 9.687 5.935
Pm 2.438 2.590 1.004
Er 3.741 4.166 7.038
Er 4.881 5.073 1.985
```

Results
Total moment in μB/cell: 0.00
Formation energy from the elements in eV/atom: 0.02
Density in g/cm3: 6.959
Symmetry: No. 12


# 19
Here is crystalline La5Pm6Er at its relaxed geometry from the Alexandria database. Energies are from PBE.

Structure (extended XYZ):
```
12
Lattice="6.187 0.000 1.517 3.094 5.519 0.758 -0.774 0.000 12.157" Properties=species:S:1:pos:R:3 pbc="T T T"
Er 0.000 0.000 0.000
Pm 4.459 1.831 4.158
Pm 0.954 1.831 9.516
Pm 4.063 0.000 10.277
Pm 1.350 0.000 3.397
Pm 7.552 3.688 4.917
Pm 4.048 3.688 10.274
La 2.706 3.681 6.837
La 3.094 1.842 0.758
La 2.706 0.000 6.837
La 6.187 3.677 1.517
La 5.800 1.838 7.595
```

Results
Total moment in μB/cell: 0.00
Formation energy from the elements in eV/atom: 0.02
Density in g/cm3: 6.821
Symmetry: No. 12


# 20
Here is crystalline La4Pm5Er2 at its relaxed geometry from the Alexandria database. Energies are from PBE.

Structure (extended XYZ):
```
11
Lattice="3.539 0.000 0.000 0.000 9.541 0.000 -1.770 -4.770 11.557" Properties=species:S:1:pos:R:3 pbc="T T T"
La 0.000 2.763 0.000
La 1.770 4.770 2.156
La 0.000 6.778 0.000
La 0.000 0.000 9.401
Pm 1.770 -2.821 8.025
Pm 1.770 2.821 8.025
Pm 0.000 1.950 3.532
Pm 0.000 7.591 3.532
Pm 1.770 0.000 0.000
Er 0.000 0.000 6.275
Er 1.770 4.770 5.282
```

Results
Polymorph energy (0 for the lowest one) in meV per atom: 171
Total moment in μB/cell: 0.00
Formation energy from the elements in eV/atom: 0.25
Density in g/cm3: 6.872
Symmetry: No. 71